No. 1
Computed, not measured: crystalline Ac3Nd2PaP6 at its relaxed geometry at the PBE level of DFT.

a = 7.356 Å, b = 12.735 Å, c = 7.419 Å
α = 90.00°, β = 109.27°, γ = 90.00°
Space group C2/m (No. 12)
Unique sites:
Ac1 0.000 0.000 0.000 (multiplicity 2)
Ac2 0.000 0.331 0.000 (multiplicity 4)
Nd1 0.000 0.166 0.500 (multiplicity 4)
Pa1 0.000 0.500 0.500 (multiplicity 2)
P1 0.235 0.340 0.727 (multiplicity 8)
P2 0.242 0.500 0.272 (multiplicity 4)

DFT total energy ... -6.7749 eV per atom
Energy relative to the elements ... -1.457 eV per atom

No. 2
Computed, not measured: crystalline Ac2NdPaP4 at its relaxed geometry at the PBE level of DFT.

a = 7.301 Å, b = 4.226 Å, c = 7.398 Å
α = 90.00°, β = 109.20°, γ = 90.00°
Space group P2/m (No. 10)
Unique sites:
Ac1 0.000 0.000 0.000 (multiplicity 1)
Ac2 0.500 0.500 0.000 (multiplicity 1)
Nd1 0.000 0.500 0.500 (multiplicity 1)
Pa1 0.500 0.000 0.500 (multiplicity 1)
P1 0.255 0.000 0.726 (multiplicity 2)
P2 0.270 0.500 0.280 (multiplicity 2)

DFT total energy ... -6.9341 eV per atom
Energy relative to the elements ... -1.419 eV per atom